(1)
An optimized crystal structure of NbFeTeIrN, computed with PBE-GGA.

Summary:
Offset from the most stable computed form (eV per atom): 0.161
Formation energy without anion corrections (kcal/mol of atoms): 0.14
SG: No. 6

a = 3.456 Å, b = 4.323 Å, c = 5.548 Å
α = 90.00°, β = 101.05°, γ = 90.00°
Positions (direct):
Nb 0.000 0.000 0.000
Fe 0.436 0.500 0.863
Te 0.381 0.000 0.586
Ir 0.234 0.500 0.321
N 0.970 0.500 0.971



(2)
An optimized crystal structure of PrErPb2, computed with PBE-GGA.

Summary:
Energy relative to the elements (eV per atom): -0.336
SG: No. 160

a = 7.387 Å, b = 7.387 Å, c = 7.387 Å
α = 37.94°, β = 37.94°, γ = 37.94°
Positions (direct):
Pr 0.000 0.000 0.000
Er 0.177 0.177 0.177
Pb 0.426 0.426 0.426
Pb 0.582 0.582 0.582



Number 1: uncorrected energy -7.77 eV/atom, total magnetization 0.17 μB/atom, N(E_F) 0.714 states/eV/atom. Number 2: uncorrected energy -4.53 eV/atom, total magnetization 0.00 μB/atom, N(E_F) 0.932 states/eV/atom.